(1)
Here is a relaxed structure of HfGaAg from Alexandria via LeMat-Bulk. Energies are from PBE-GGA.

a = 2.9614 Å, b = 5.0358 Å, c = 7.7169 Å
α = 75.84°, β = 79.28°, γ = 89.99°
With the nearest neighbours (Å) after each atom.
Fractional coordinates of all 6 atoms:
Hf1 0.0776 0.2958 0.3531  6 Ga 2.90-2.96, 3 Hf 2.96-3.25, 3 Ag 3.07-3.08
Hf2 0.9224 0.7042 0.6469  6 Ga 2.90-2.96, 3 Hf 2.96-3.25, 3 Ag 3.07-3.08
Ga1 0.4029 0.1841 0.6952  3 Ag 2.74-2.88, 6 Hf 2.90-2.96, 2 Ga 2.96
Ga2 0.5971 0.8159 0.3048  3 Ag 2.74-2.88, 6 Hf 2.90-2.96, 2 Ga 2.96
Ag1 0.2538 0.7462 0.9949  3 Ga 2.74-2.88, 6 Ag 2.87-2.98
Ag2 0.7462 0.2538 0.0051  3 Ga 2.74-2.88, 6 Ag 2.87-2.98

Results
SG   P-1, No. 2
Formation enthalpy at 0 K   -58 kJ/mol of formula units
Volume   18.25 Å³/atom

(2)
Here is a relaxed structure of LiAcLa2Se5 from Alexandria via LeMat-Bulk. Energies are from PBE-GGA.

a = 9.2248 Å, b = 9.2248 Å, c = 12.8455 Å
α = 90.00°, β = 90.00°, γ = 152.96°
With the nearest neighbours (Å) after each atom.
Fractional coordinates of all 18 atoms:
Li1 0.0085 0.9915 0.5000  4 Se 2.50-2.59
Li2 0.9915 0.0085 0.0000  4 Se 2.50-2.59
Ac1 0.3057 0.6943 0.0107  6 Se 2.98-3.09
Ac2 0.6943 0.3057 0.5107  6 Se 2.98-3.09
La1 0.3835 0.6165 0.3113  7 Se 3.06-3.39
La2 0.3893 0.6107 0.6951  8 Se 3.00-3.32
La3 0.6107 0.3893 0.1951  8 Se 3.00-3.32
La4 0.6165 0.3835 0.8113  7 Se 3.06-3.39
Se1 0.0040 0.9960 0.3013  1 Li 2.55
Se2 0.1354 0.8646 0.0131  1 Li 2.59
Se3 0.1926 0.8074 0.3412  2 Ac 3.07, 2 La 3.21, 1 Se 3.42
Se4 0.2042 0.7958 0.6822  2 Ac 3.09, 3 La 3.14-3.32
Se5 0.4619 0.5381 0.0888  2 Li 2.50
Se6 0.5381 0.4619 0.5888  2 Li 2.50
Se7 0.7958 0.2042 0.1822  2 Ac 3.09, 3 La 3.14-3.32
Se8 0.8074 0.1926 0.8412  2 Ac 3.07, 2 La 3.21, 1 Se 3.42
Se9 0.8646 0.1354 0.5131  1 Li 2.59
Se10 0.9960 0.0040 0.8013  1 Li 2.55

Results
SG   Cmc2_1, No. 36
Raw formation energy   -1832 meV per atom
Volume   27.61 Å³/atom